Record 1
## CsNa2SrP (PBE-GGA)

Data for crystalline CsNa2SrP at its relaxed geometry.

Values from the calculation:
**DOS(E_F)**: 4.2 states/eV/cell
**Total moment**: 0.01 μB/cell

Cell and atoms, written as extended XYZ:
```
5
Lattice="-3.6782 -1.5408 4.1597 1.3682 -7.1378 -1.4341 4.3063 0.0562 3.8287" Properties=species:S:1:pos:R:3 pbc="T T T"
P 0.9982 -4.3112 3.2772
Na -1.8391 -0.7704 2.0799
Na 2.1532 0.0281 1.9143
Cs 0.0000 0.0000 0.0000
Sr 0.6841 -3.5689 -0.7170
```

Record 2
## ZrSi2Ag (PBE-GGA)

Data for crystalline ZrSi2Ag at its relaxed geometry.

Values from the calculation:
**DOS(E_F)**: 5.1 states/eV/cell
**Total moment**: 0.00 μB/cell

Cell and atoms, written as extended XYZ:
```
4
Lattice="2.4323 -2.9769 2.5742 1.9322 1.4085 3.9607 -1.6868 -1.4724 4.0486" Properties=species:S:1:pos:R:3 pbc="T T T"
Si 0.6694 -0.7602 2.6459
Si 2.0083 -2.2806 7.9376
Ag 1.3389 -1.5204 5.2918
Zr 0.0000 0.0000 0.0000
```

Record 3
## GaH2PdSe (PBE-GGA)

Data for crystalline GaH2PdSe at its relaxed geometry.

Values from the calculation:
**DOS(E_F)**: 1.0 states/eV/cell
**Total moment**: 0.00 μB/cell

Cell and atoms, written as extended XYZ:
```
5
Lattice="-2.5587 1.9276 1.5917 1.9689 -1.4896 4.9691 2.1536 2.8562 0.0029" Properties=species:S:1:pos:R:3 pbc="T T T"
H 1.0768 1.4281 0.0014
H -1.2793 0.9638 0.7958
Se 0.0000 0.0000 0.0000
Ga 0.7819 1.6471 3.2818
Pd 0.9845 -0.7448 2.4845
```

Record 4
## Pm2GaSi3Rh4 (PBE-GGA)

Data for crystalline Pm2GaSi3Rh4 at its relaxed geometry.

Values from the calculation:
**DOS(E_F)**: 5.7 states/eV/cell
**Total moment**: 0.00 μB/cell

Cell and atoms, written as extended XYZ:
```
10
Lattice="4.1966 0.0000 0.0000 0.0000 4.1966 0.0000 0.0000 0.0000 9.8877" Properties=species:S:1:pos:R:3 pbc="T T T"
Pm 2.0983 0.0000 2.4941
Pm 0.0000 2.0983 7.3936
Rh 0.0000 2.0983 3.6253
Rh 0.0000 0.0000 0.0000
Rh 2.0983 0.0000 6.2625
Rh 2.0983 2.0983 0.0000
Ga 2.0983 2.0983 4.9439
Si 0.0000 0.0000 4.9439
Si 2.0983 0.0000 8.6354
Si 0.0000 2.0983 1.2524
```

Record 5
## AlPdW3 (PBE-GGA)

Data for crystalline AlPdW3 at its relaxed geometry.

Values from the calculation:
**DOS(E_F)**: 5.9 states/eV/cell
**Total moment**: 0.00 μB/cell

Cell and atoms, written as extended XYZ:
```
5
Lattice="4.5041 0.0000 0.0000 0.0000 4.5041 0.0000 0.0000 0.0000 4.5041" Properties=species:S:1:pos:R:3 pbc="T T T"
Pd 2.2520 2.2520 2.2520
Al 0.0000 0.0000 0.0000
W 2.2520 0.0000 0.0000
W 0.0000 0.0000 2.2520
W 0.0000 2.2520 0.0000
```

Record 6
## LaFe3N (PBE-GGA)

Data for crystalline LaFe3N at its relaxed geometry.

Values from the calculation:
**DOS(E_F)**: 5.0 states/eV/cell
**Total moment**: 6.01 μB/cell
**Energy relative to the lowest polymorph listed for this composition**: 0 meV/atom

Cell and atoms, written as extended XYZ:
```
5
Lattice="4.1024 0.0000 0.0000 0.0000 4.1024 0.0000 0.0000 0.0000 4.1024" Properties=species:S:1:pos:R:3 pbc="T T T"
Fe 0.0000 0.0000 2.0512
Fe 0.0000 2.0512 0.0000
Fe 2.0512 0.0000 0.0000
La 2.0512 2.0512 2.0512
N 0.0000 0.0000 0.0000
```

Record 7
## UVIr2 (PBE-GGA)

Data for crystalline UVIr2 at its relaxed geometry.

Values from the calculation:
**DOS(E_F)**: 5.9 states/eV/cell
**Total moment**: 0.55 μB/cell
**Energy relative to the lowest polymorph listed for this composition**: 233 meV/atom

Cell and atoms, written as extended XYZ:
```
4
Lattice="2.7844 0.0000 0.0000 1.3922 2.4114 0.0000 1.3922 0.8038 9.4980" Properties=species:S:1:pos:R:3 pbc="T T T"
Ir 4.1766 2.4114 7.4087
Ir 1.3922 0.8038 2.0893
V 0.0000 0.0000 0.0000
U 2.7844 1.6076 4.7490
```

Record 8
## Ba2LiLaO (PBE-GGA)

Data for crystalline Ba2LiLaO at its relaxed geometry.

Values from the calculation:
**DOS(E_F)**: 3.4 states/eV/cell
**Total moment**: 0.26 μB/cell

Cell and atoms, written as extended XYZ:
```
5
Lattice="-4.0819 4.4668 -1.1234 0.0371 -1.4692 -5.9763 -3.4748 -2.9956 0.7149" Properties=species:S:1:pos:R:3 pbc="T T T"
La -1.7374 -1.4978 0.3574
Ba 0.0186 -0.7346 -2.9882
Ba -2.0410 2.2334 -0.5617
O 0.0000 0.0000 0.0000
Li -3.7598 0.0010 -3.1924
```

| no. | E (eV per atom) |
| --- | --- |
| 1 | -1.08 |
| 2 | -5.47 |
| 3 | -3.61 |
| 4 | -6.83 |
| 5 | -7.74 |
| 6 | -7.57 |
| 7 | -9.75 |
| 8 | -4.11 |